[1]
Pm2Ga3Ag2 after structural relaxation. Source: the Alexandria database, functional GGA-PBE.

Unit cell a=5.8363 b=5.8363 c=6.7178 alpha=111.14 beta=111.14 gamma=45.65
Last column: nearest neighbours and their distance in Å.
Fractional positions:
1 Pm 0.1533 0.1533 0.2705  6 Ga 3.11-3.47, 5 Ag 3.17-3.45
2 Pm 0.8467 0.8467 0.7295  6 Ga 3.11-3.47, 5 Ag 3.17-3.45
3 Ga 0.4066 0.4066 0.0724  2 Ga 2.55-2.65, 3 Ag 2.71-2.78
4 Ga 0.5000 0.5000 0.5000  2 Ga 2.65, 4 Ag 2.90
5 Ga 0.5934 0.5934 0.9276  2 Ga 2.55-2.65, 3 Ag 2.71-2.78
6 Ag 0.1466 0.1466 0.7522  5 Ga 2.71-2.90
7 Ag 0.8534 0.8534 0.2478  5 Ga 2.71-2.90

- DFT formation energy (kJ/mol of formula units) = -293
- DOS at the Fermi energy (states/eV/cell) = 3.9
- volume (Å³ per atom) = 21.513
- space group = C2/m, No. 12
- distance to the lowest polymorph of the same formula (meV/atom) = 46

[2]
LuPuZn after structural relaxation. Source: the Alexandria database, functional GGA-PBE.

Unit cell a=5.0400 b=5.0400 c=3.2300 alpha=90.00 beta=90.00 gamma=120.00
Last column: nearest neighbours and their distance in Å.
Fractional positions:
1 Lu 0.0000 0.0000 0.0000  3 Zn 3.02, 2 Lu 3.23, 3 Pu 3.23
2 Pu 0.3333 0.6667 0.5640  3 Zn 3.09, 2 Pu 3.23, 6 Lu 3.23-3.43
3 Zn 0.6667 0.3333 0.2456  3 Lu 3.02, 3 Pu 3.09, 2 Zn 3.23

- DFT formation energy (kJ/mol of formula units) = 14
- DOS at the Fermi energy (states/eV/cell) = 6.5
- volume (Å³ per atom) = 23.685
- space group = P3m1, No. 156
- distance to the lowest polymorph of the same formula (meV/atom) = 118

[3]
Hf2OsPtRh after structural relaxation. Source: the Alexandria database, functional GGA-PBE.

Unit cell a=4.9486 b=4.9486 c=4.6154 alpha=90.00 beta=90.00 gamma=90.00
Last column: nearest neighbours and their distance in Å.
Fractional positions:
1 Hf 0.0000 0.5000 0.0000  2 Os 2.47
2 Hf 0.5000 0.0000 0.0000  2 Os 2.47
3 Os 0.0000 0.0000 0.0000  2 Rh 2.31, 4 Hf 2.47
4 Pt 0.5000 0.5000 0.5000  8 Hf 3.38, 4 Rh 3.50
5 Rh 0.0000 0.0000 0.5000  2 Os 2.31

- DFT formation energy (kJ/mol of formula units) = 297
- DOS at the Fermi energy (states/eV/cell) = 5.5
- volume (Å³ per atom) = 22.604
- space group = P4/mmm, No. 123

[4]
SrThNpO6 after structural relaxation. Source: the Alexandria database, functional GGA-PBE.

Unit cell a=5.9403 b=5.9403 c=9.5947 alpha=90.00 beta=90.00 gamma=120.00
Last column: nearest neighbours and their distance in Å.
Fractional positions:
1 Sr 0.3333 0.6667 0.2500  6 O 2.50
2 Sr 0.6667 0.3333 0.7500  6 O 2.50
3 Th 0.0000 0.0000 0.0000  6 O 2.36
4 Th 0.0000 0.0000 0.5000  6 O 2.36
5 Np 0.3333 0.6667 0.7500  6 O 2.09
6 Np 0.6667 0.3333 0.2500  6 O 2.09
7 O 0.0540 0.3613 0.6296  1 Np 2.09
8 O 0.0540 0.6927 0.8704  1 Np 2.09
9 O 0.3073 0.3613 0.8704  1 Np 2.09
10 O 0.3073 0.9460 0.6296  1 Np 2.09
11 O 0.3613 0.0540 0.1296  1 Np 2.09
12 O 0.3613 0.3073 0.3704  1 Np 2.09
13 O 0.6387 0.6927 0.6296  1 Np 2.09
14 O 0.6387 0.9460 0.8704  1 Np 2.09
15 O 0.6927 0.0540 0.3704  1 Np 2.09
16 O 0.6927 0.6387 0.1296  1 Np 2.09
17 O 0.9460 0.3073 0.1296  1 Np 2.09
18 O 0.9460 0.6387 0.3704  1 Np 2.09

- raw formation energy (meV/atom) = -3127
- volume (Å³ per atom) = 16.289
- space group = P-31c, No. 163